[1]
## LiSn3P (meta-GGA SCAN)

Data for a crystal of LiSn3P relaxed with PBEsol.

Values from the calculation:
space group: Pm-3m, No. 221
energy of formation from the pure elements: 2.28 eV/f.u.

```
data_LiSn3P
_cell_length_a 5.151
_cell_length_b 5.151
_cell_length_c 5.151
_cell_angle_alpha 90.00
_cell_angle_beta 90.00
_cell_angle_gamma 90.00
_space_group_name_H-M_alt 'P 1'
_space_group_IT_number 1
loop_
_space_group_symop_operation_xyz
'x,y,z'
loop_
_atom_site_label
_atom_site_type_symbol
_atom_site_fract_x
_atom_site_fract_y
_atom_site_fract_z
Li1 Li 0.000 0.000 0.000
Sn1 Sn 0.000 0.500 0.500
Sn2 Sn 0.500 0.000 0.500
Sn3 Sn 0.500 0.500 0.000
P1 P 0.500 0.500 0.500
```

---

[2]
## MgCd2P (meta-GGA SCAN)

Data for a crystal of MgCd2P relaxed with PBEsol.

Values from the calculation:
space group: C2/m, No. 12
energy of formation from the pure elements: 0.06 eV/f.u.

```
data_MgCd2P
_cell_length_a 6.152
_cell_length_b 6.152
_cell_length_c 3.166
_cell_angle_alpha 103.81
_cell_angle_beta 103.81
_cell_angle_gamma 127.60
_space_group_name_H-M_alt 'P 1'
_space_group_IT_number 1
loop_
_space_group_symop_operation_xyz
'x,y,z'
loop_
_atom_site_label
_atom_site_type_symbol
_atom_site_fract_x
_atom_site_fract_y
_atom_site_fract_z
Mg1 Mg 0.000 0.000 0.000
Cd1 Cd 0.000 0.500 0.000
Cd2 Cd 0.500 0.000 0.000
P1 P 0.500 0.500 0.000
```

---

[3]
## SrMn2BiO6 (meta-GGA SCAN)

Data for a crystal of SrMn2BiO6 relaxed with PBEsol.

Values from the calculation:
space group: I4mm, No. 107
ΔE_f (raw): -2.18 eV/atom

```
data_SrMn2BiO6
_cell_length_a 5.456
_cell_length_b 5.456
_cell_length_c 5.456
_cell_angle_alpha 120.44
_cell_angle_beta 120.44
_cell_angle_gamma 89.25
_space_group_name_H-M_alt 'P 1'
_space_group_IT_number 1
loop_
_space_group_symop_operation_xyz
'x,y,z'
loop_
_atom_site_label
_atom_site_type_symbol
_atom_site_fract_x
_atom_site_fract_y
_atom_site_fract_z
Sr1 Sr 0.000 0.000 0.000
Mn1 Mn 0.254 0.754 0.500
Mn2 Mn 0.754 0.254 0.500
Bi1 Bi 0.460 0.460 0.000
O1 O 0.013 0.513 0.500
O2 O 0.033 0.033 0.521
O3 O 0.033 0.513 0.000
O4 O 0.513 0.013 0.500
O5 O 0.513 0.033 0.000
O6 O 0.513 0.513 0.479
```

---

[4]
## LiMoP (meta-GGA SCAN)

Data for a crystal of LiMoP relaxed with PBEsol.

Values from the calculation:
space group: F-43m, No. 216
energy of formation from the pure elements: 0.78 eV/f.u.

```
data_LiMoP
_cell_length_a 3.976
_cell_length_b 3.976
_cell_length_c 3.976
_cell_angle_alpha 60.00
_cell_angle_beta 60.00
_cell_angle_gamma 60.00
_space_group_name_H-M_alt 'P 1'
_space_group_IT_number 1
loop_
_space_group_symop_operation_xyz
'x,y,z'
loop_
_atom_site_label
_atom_site_type_symbol
_atom_site_fract_x
_atom_site_fract_y
_atom_site_fract_z
Li1 Li 0.000 0.000 0.000
Mo1 Mo 0.750 0.750 0.750
P1 P 0.500 0.500 0.500
```

---

[5]
## ZnIr2Cl (meta-GGA SCAN)

Data for a crystal of ZnIr2Cl relaxed with PBEsol.

Values from the calculation:
space group: P4mm, No. 99
ΔE_f (raw): 0.32 eV/atom

```
data_ZnIr2Cl
_cell_length_a 2.816
_cell_length_b 2.816
_cell_length_c 7.592
_cell_angle_alpha 90.00
_cell_angle_beta 90.00
_cell_angle_gamma 90.00
_space_group_name_H-M_alt 'P 1'
_space_group_IT_number 1
loop_
_space_group_symop_operation_xyz
'x,y,z'
loop_
_atom_site_label
_atom_site_type_symbol
_atom_site_fract_x
_atom_site_fract_y
_atom_site_fract_z
Zn1 Zn 0.000 0.000 0.000
Ir1 Ir 0.000 0.000 0.538
Ir2 Ir 0.500 0.500 0.769
Cl1 Cl 0.500 0.500 0.269
```

---

[6]
## Be2TcMo2 (meta-GGA SCAN)

Data for a crystal of Be2TcMo2 relaxed with PBEsol.

Values from the calculation:
space group: P4/mbm, No. 127
energy of formation from the pure elements: -1.07 eV/f.u.

```
data_Be2TcMo2
_cell_length_a 6.127
_cell_length_b 6.127
_cell_length_c 3.150
_cell_angle_alpha 90.00
_cell_angle_beta 90.00
_cell_angle_gamma 90.00
_space_group_name_H-M_alt 'P 1'
_space_group_IT_number 1
loop_
_space_group_symop_operation_xyz
'x,y,z'
loop_
_atom_site_label
_atom_site_type_symbol
_atom_site_fract_x
_atom_site_fract_y
_atom_site_fract_z
Be1 Be 0.120 0.380 0.000
Be2 Be 0.380 0.880 0.000
Be3 Be 0.620 0.120 0.000
Be4 Be 0.880 0.620 0.000
Tc1 Tc 0.000 0.000 0.000
Tc2 Tc 0.500 0.500 0.000
Mo1 Mo 0.175 0.675 0.500
Mo2 Mo 0.325 0.175 0.500
Mo3 Mo 0.675 0.825 0.500
Mo4 Mo 0.825 0.325 0.500
```

---

[7]
## ScCuP2 (meta-GGA SCAN)

Data for a crystal of ScCuP2 relaxed with PBEsol.

Values from the calculation:
space group: Pmmm, No. 47
energy of formation from the pure elements: -2.49 eV/f.u.

```
data_ScCuP2
_cell_length_a 3.436
_cell_length_b 3.632
_cell_length_c 5.031
_cell_angle_alpha 90.00
_cell_angle_beta 90.00
_cell_angle_gamma 90.00
_space_group_name_H-M_alt 'P 1'
_space_group_IT_number 1
loop_
_space_group_symop_operation_xyz
'x,y,z'
loop_
_atom_site_label
_atom_site_type_symbol
_atom_site_fract_x
_atom_site_fract_y
_atom_site_fract_z
Sc1 Sc 0.000 0.000 0.000
Cu1 Cu 0.500 0.000 0.500
P1 P 0.500 0.500 0.220
P2 P 0.500 0.500 0.780
```

---

[8]
## CaY2Cl (meta-GGA SCAN)

Data for a crystal of CaY2Cl relaxed with PBEsol.

Values from the calculation:
space group: Imm2, No. 44
ΔE_f (raw): -0.52 eV/atom

```
data_CaY2Cl
_cell_length_a 6.513
_cell_length_b 6.513
_cell_length_c 6.513
_cell_angle_alpha 149.41
_cell_angle_beta 124.06
_cell_angle_gamma 65.11
_space_group_name_H-M_alt 'P 1'
_space_group_IT_number 1
loop_
_space_group_symop_operation_xyz
'x,y,z'
loop_
_atom_site_label
_atom_site_type_symbol
_atom_site_fract_x
_atom_site_fract_y
_atom_site_fract_z
Ca1 Ca 0.000 0.000 0.000
Y1 Y 0.311 0.811 0.500
Y2 Y 0.586 0.586 0.000
Cl1 Cl 0.789 0.289 0.500
```